VASP calculation (GGA-PBE) on As3RuO after structural relaxation.

The value obtained for the formation energy from raw total energies is 371.2 meV per atom. The value obtained for the energy relative to the lowest polymorph listed for this composition is 0.0 meV per atom. The density of states at the Fermi level is 0.64 states/eV per atom.

abc: 4.272 4.272 4.272
angles: 90.00 90.00 90.00
Element x y z (fractional)
As 0.000 0.000 0.500
As 0.000 0.500 0.000
As 0.500 0.000 0.000
Ru 0.500 0.500 0.500
O 0.000 0.000 0.000